# 1
A geometry-optimized K2RbPmBr6 structure, computed with PBE.

abc: 8.0192 8.6032 14.0235
angles: 90.00 124.08 90.00
Element x y z (fractional)
K: 0.2093 0.0821 0.2434
K: 0.2093 0.4179 0.7434
K: 0.7907 0.5821 0.2566
K: 0.7907 0.9179 0.7566
Rb: 0.0000 0.0000 0.5000
Rb: 0.0000 0.5000 0.0000
Pm: 0.5000 0.0000 0.0000
Pm: 0.5000 0.5000 0.5000
Br: 0.1453 0.1750 0.9336
Br: 0.1453 0.3250 0.4336
Br: 0.2553 0.7209 0.9141
Br: 0.2553 0.7791 0.4141
Br: 0.4230 0.0669 0.7761
Br: 0.4230 0.4331 0.2761
Br: 0.5770 0.5669 0.7239
Br: 0.5770 0.9331 0.2239
Br: 0.7447 0.2209 0.5859
Br: 0.7447 0.2791 0.0859
Br: 0.8547 0.6750 0.5664
Br: 0.8547 0.8250 0.0664

E_tot = -3.619 eV per atom
symmetry = P2_1/c, No. 14
DOS(E_F) = 0.000 states/eV per atom

=====

# 2
A geometry-optimized Ni2AsBr structure, computed with PBE.

abc: 3.4349 3.4523 6.0332
angles: 90.00 90.00 90.00
Element x y z (fractional)
Ni: 0.0000 0.0000 0.0000
Ni: 0.0000 0.5000 0.3211
As: 0.5000 0.5000 0.0660
Br: 0.0000 0.0000 0.5943

E_tot = -4.573 eV per atom
symmetry = Pmm2, No. 25
excess energy over the best structure of this formula in the dataset = 0 meV per atom
DOS(E_F) = 0.781 states/eV per atom

=====

# 3
A geometry-optimized MgBe2Si2 structure, computed with PBE.

abc: 3.8783 3.8904 5.7234
angles: 96.30 95.57 119.16
Element x y z (fractional)
Mg: 0.0000 0.0000 0.0000
Be: 0.5710 0.2318 0.6761
Be: 0.7627 0.4294 0.3263
Si: 0.2399 0.5762 0.6870
Si: 0.4205 0.7630 0.3120

E_tot = -3.881 eV per atom
symmetry = P1, No. 1
DOS(E_F) = 0.213 states/eV per atom

=====

# 4
A geometry-optimized Ca3TbCd4 structure, computed with PBE.

abc: 3.8158 3.8158 15.2485
angles: 90.00 90.00 90.00
Element x y z (fractional)
Ca: 0.0000 0.0000 0.0000
Ca: 0.0000 0.0000 0.2528
Ca: 0.0000 0.0000 0.7472
Tb: 0.0000 0.0000 0.5000
Cd: 0.5000 0.5000 0.1260
Cd: 0.5000 0.5000 0.3816
Cd: 0.5000 0.5000 0.6184
Cd: 0.5000 0.5000 0.8740

E_tot = -2.135 eV per atom
symmetry = P4/mmm, No. 123
energy of formation from the pure elements = -0.348 eV/atom
DOS(E_F) = 0.901 states/eV per atom

=====

# 5
A geometry-optimized BaCrPtC2 structure, computed with PBE.

abc: 4.0801 4.0801 5.0502
angles: 90.00 90.00 90.00
Element x y z (fractional)
Ba: 0.0000 0.0000 0.0000
Cr: 0.5000 0.5000 0.5000
Pt: 0.5000 0.5000 0.0000
C: 0.0000 0.5000 0.5000
C: 0.5000 0.0000 0.5000

E_tot = -6.283 eV per atom
symmetry = P4/mmm, No. 123
energy of formation from the pure elements = 0.924 eV/atom
DOS(E_F) = 0.806 states/eV per atom

=====

# 6
A geometry-optimized LaTbSm2Er5 structure, computed with PBE.

abc: 9.8456 9.8456 9.8456
angles: 127.23 127.23 77.88
Element x y z (fractional)
La: 0.2500 0.2500 0.0000
La: 0.7500 0.7500 0.0000
Tb: 0.2500 0.7500 0.5000
Tb: 0.7500 0.2500 0.5000
Sm: 0.1161 0.6161 0.7322
Sm: 0.3839 0.1161 0.5000
Sm: 0.6161 0.8839 0.5000
Sm: 0.8839 0.3839 0.2678
Er: 0.0000 0.0000 0.0000
Er: 0.0730 0.1570 0.5000
Er: 0.1570 0.6570 0.0839
Er: 0.3430 0.4270 0.5000
Er: 0.4270 0.9270 0.0839
Er: 0.5000 0.5000 0.0000
Er: 0.5730 0.0730 0.9161
Er: 0.6570 0.5730 0.5000
Er: 0.8430 0.3430 0.9161
Er: 0.9270 0.8430 0.5000

E_tot = -4.383 eV per atom
symmetry = I4/mcm, No. 140
energy of formation from the pure elements = 0.262 eV/atom
DOS(E_F) = 1.122 states/eV per atom

=====

no.,spin magnetization (μB per cell)
1,0.0
2,0.0
3,0.0
4,0.0
5,0.0
6,0.0